Entry 1:
# Ba3La4Sn4, optimized geometry, DFT PBE
# Total moment = 0.07 μB per formula unit
# D(E_F) = 11.54 states/eV per cell
# Energy relative to the elements = -0.54 eV/atom
# Final energy = -4.315 eV per atom
data_Ba3La4Sn4
_symmetry_space_group_name_H-M 'P 1'
_symmetry_Int_Tables_number 1
_cell_length_a 5.430
_cell_length_b 8.285
_cell_length_c 10.554
_cell_angle_alpha 113.11
_cell_angle_beta 104.91
_cell_angle_gamma 90.00
loop_
_symmetry_equiv_pos_as_xyz
'x,y,z'
loop_
_atom_site_label
_atom_site_type_symbol
_atom_site_fract_x
_atom_site_fract_y
_atom_site_fract_z
Sn1 Sn 0.500 0.811 0.000
Ba1 Ba 0.000 0.500 0.000
Sn2 Sn 0.202 0.702 0.404
Ba2 Ba 0.893 0.893 0.786
Ba3 Ba 0.107 0.107 0.214
La1 La 0.671 0.884 0.342
La2 La 0.329 0.116 0.658
La3 La 0.329 0.542 0.658
Sn3 Sn 0.500 0.189 0.000
Sn4 Sn 0.798 0.298 0.596
La4 La 0.671 0.458 0.342

Entry 2:
# BaLa2Sn, optimized geometry, DFT PBE
# Total moment = 0.00 μB per formula unit
# D(E_F) = 5.63 states/eV per cell
# Energy relative to the elements = -0.31 eV/atom
# Final energy = -4.254 eV per atom
data_BaLa2Sn
_symmetry_space_group_name_H-M 'P 1'
_symmetry_Int_Tables_number 1
_cell_length_a 4.290
_cell_length_b 4.290
_cell_length_c 8.099
_cell_angle_alpha 90.00
_cell_angle_beta 90.00
_cell_angle_gamma 90.00
loop_
_symmetry_equiv_pos_as_xyz
'x,y,z'
loop_
_atom_site_label
_atom_site_type_symbol
_atom_site_fract_x
_atom_site_fract_y
_atom_site_fract_z
Ba1 Ba 0.500 0.500 0.500
Sn1 Sn 0.500 0.500 0.000
La1 La 0.000 0.000 0.810
La2 La 0.000 0.000 0.190

Entry 3:
# BaLaSn, optimized geometry, DFT PBE
# Total moment = 0.00 μB per formula unit
# D(E_F) = 5.14 states/eV per cell
# Energy relative to the elements = -0.36 eV/atom
# Final energy = -3.974 eV per atom
data_BaLaSn
_symmetry_space_group_name_H-M 'P 1'
_symmetry_Int_Tables_number 1
_cell_length_a 4.984
_cell_length_b 5.065
_cell_length_c 13.264
_cell_angle_alpha 79.60
_cell_angle_beta 90.11
_cell_angle_gamma 60.68
loop_
_symmetry_equiv_pos_as_xyz
'x,y,z'
loop_
_atom_site_label
_atom_site_type_symbol
_atom_site_fract_x
_atom_site_fract_y
_atom_site_fract_z
La1 La 0.280 0.138 0.429
Ba1 Ba 0.146 0.409 0.041
La2 La 0.561 0.577 0.286
Ba2 Ba 0.369 0.962 0.719
Sn1 Sn 0.864 0.973 0.201
Sn2 Sn 0.646 0.408 0.547

Entry 4:
# BaLa4Sn4, optimized geometry, DFT PBE
# Total moment = 0.00 μB per formula unit
# D(E_F) = 11.28 states/eV per cell
# Energy relative to the elements = -0.56 eV/atom
# Final energy = -4.739 eV per atom
data_BaLa4Sn4
_symmetry_space_group_name_H-M 'P 1'
_symmetry_Int_Tables_number 1
_cell_length_a 6.465
_cell_length_b 10.675
_cell_length_c 10.675
_cell_angle_alpha 90.00
_cell_angle_beta 90.00
_cell_angle_gamma 90.00
loop_
_symmetry_equiv_pos_as_xyz
'x,y,z'
loop_
_atom_site_label
_atom_site_type_symbol
_atom_site_fract_x
_atom_site_fract_y
_atom_site_fract_z
La1 La 0.889 0.383 0.135
Ba1 Ba 0.000 0.000 0.000
Sn1 Sn 0.903 0.688 0.168
Sn2 Sn 0.097 0.168 0.312
La2 La 0.611 0.117 0.365
La3 La 0.389 0.365 0.883
Sn3 Sn 0.403 0.332 0.188
La4 La 0.889 0.617 0.865
Sn4 Sn 0.097 0.832 0.688
Sn5 Sn 0.903 0.312 0.832
La5 La 0.389 0.635 0.117
La6 La 0.111 0.865 0.383
Ba2 Ba 0.500 0.500 0.500
Sn6 Sn 0.597 0.812 0.332
Sn7 Sn 0.597 0.188 0.668
La7 La 0.111 0.135 0.617
Sn8 Sn 0.403 0.668 0.812
La8 La 0.611 0.883 0.635

Entry 5:
# Ba2La2Sn15, optimized geometry, DFT PBE
# Total moment = 0.00 μB per formula unit
# D(E_F) = 11.92 states/eV per cell
# Energy relative to the elements = -0.33 eV/atom
# Final energy = -4.211 eV per atom
data_Ba2La2Sn15
_symmetry_space_group_name_H-M 'P 1'
_symmetry_Int_Tables_number 1
_cell_length_a 8.619
_cell_length_b 8.619
_cell_length_c 8.619
_cell_angle_alpha 75.91
_cell_angle_beta 75.91
_cell_angle_gamma 75.91
loop_
_symmetry_equiv_pos_as_xyz
'x,y,z'
loop_
_atom_site_label
_atom_site_type_symbol
_atom_site_fract_x
_atom_site_fract_y
_atom_site_fract_z
Sn1 Sn 0.500 0.000 0.000
Sn2 Sn 0.000 0.500 0.000
Ba1 Ba 0.351 0.351 0.351
Sn3 Sn 0.711 0.289 0.000
Sn4 Sn 0.000 0.000 0.500
Sn5 Sn 0.866 0.371 0.371
Sn6 Sn 0.289 0.000 0.711
La1 La 0.892 0.892 0.892
Sn7 Sn 0.289 0.711 0.000
Sn8 Sn 0.000 0.711 0.289
Sn9 Sn 0.000 0.289 0.711
Sn10 Sn 0.711 0.000 0.289
Sn11 Sn 0.134 0.629 0.629
Sn12 Sn 0.371 0.866 0.371
Ba2 Ba 0.649 0.649 0.649
Sn13 Sn 0.629 0.629 0.134
Sn14 Sn 0.629 0.134 0.629
Sn15 Sn 0.371 0.371 0.866
La2 La 0.108 0.108 0.108

Entry 6:
# BaLa2Sn6, optimized geometry, DFT PBE
# Total moment = 0.00 μB per formula unit
# D(E_F) = 5.57 states/eV per cell
# Energy relative to the elements = -0.49 eV/atom
# Final energy = -4.464 eV per atom
data_BaLa2Sn6
_symmetry_space_group_name_H-M 'P 1'
_symmetry_Int_Tables_number 1
_cell_length_a 4.667
_cell_length_b 9.057
_cell_length_c 9.057
_cell_angle_alpha 57.62
_cell_angle_beta 75.07
_cell_angle_gamma 75.07
loop_
_symmetry_equiv_pos_as_xyz
'x,y,z'
loop_
_atom_site_label
_atom_site_type_symbol
_atom_site_fract_x
_atom_site_fract_y
_atom_site_fract_z
La1 La 0.869 0.631 0.631
Ba1 Ba 0.000 0.000 0.000
Sn1 Sn 0.690 0.029 0.591
Sn2 Sn 0.310 0.971 0.409
La2 La 0.131 0.369 0.369
Sn3 Sn 0.500 0.318 0.682
Sn4 Sn 0.690 0.591 0.029
Sn5 Sn 0.500 0.682 0.318
Sn6 Sn 0.310 0.409 0.971

Entry 7:
# BaLaSn3, optimized geometry, DFT PBE
# Total moment = 0.00 μB per formula unit
# D(E_F) = 4.11 states/eV per cell
# Energy relative to the elements = -0.05 eV/atom
# Final energy = -3.826 eV per atom
data_BaLaSn3
_symmetry_space_group_name_H-M 'P 1'
_symmetry_Int_Tables_number 1
_cell_length_a 5.983
_cell_length_b 5.983
_cell_length_c 5.983
_cell_angle_alpha 90.00
_cell_angle_beta 90.00
_cell_angle_gamma 90.00
loop_
_symmetry_equiv_pos_as_xyz
'x,y,z'
loop_
_atom_site_label
_atom_site_type_symbol
_atom_site_fract_x
_atom_site_fract_y
_atom_site_fract_z
Sn1 Sn 0.500 0.000 0.000
Sn2 Sn 0.000 0.000 0.500
La1 La 0.000 0.000 0.000
Sn3 Sn 0.000 0.500 0.000
Ba1 Ba 0.500 0.500 0.500

Entry 8:
# BaLaSn, optimized geometry, DFT PBE
# Total moment = 0.00 μB per formula unit
# D(E_F) = 4.55 states/eV per cell
# Energy relative to the elements = -0.59 eV/atom
# Final energy = -4.208 eV per atom
data_BaLaSn
_symmetry_space_group_name_H-M 'P 1'
_symmetry_Int_Tables_number 1
_cell_length_a 5.086
_cell_length_b 5.086
_cell_length_c 10.015
_cell_angle_alpha 104.71
_cell_angle_beta 104.71
_cell_angle_gamma 89.99
loop_
_symmetry_equiv_pos_as_xyz
'x,y,z'
loop_
_atom_site_label
_atom_site_type_symbol
_atom_site_fract_x
_atom_site_fract_y
_atom_site_fract_z
Sn1 Sn 0.878 0.878 0.757
La1 La 0.000 0.500 0.000
Ba1 Ba 0.320 0.320 0.641
Sn2 Sn 0.122 0.122 0.243
Ba2 Ba 0.680 0.680 0.359
La2 La 0.500 0.000 0.000